An optimized crystal structure of Rb2LiNb2O7. Source: Alexandria via LeMat-Bulk, functional PBE.

Cell: 5.7401 5.7347 11.6514 Å, 90.00 103.18 90.00°
With the nearest neighbours (Å) after each atom.
Space group C2/m (No. 12)
Symmetry-distinct sites (fractional):
Rb  0.1972  0.0000  0.3809 [4 per cell]  9 O 2.85-3.17
Li  0.0000  0.0000  0.0000 [2 per cell]  12 O 2.73-2.87
Nb  0.1163  0.5000  0.1825 [4 per cell]  6 O 1.89-2.11
O  0.0000  0.5000  0.0000 [2 per cell]  2 Nb 2.08
O  0.1571  0.2489  0.8323 [8 per cell]  2 Nb 1.96-2.11
O  0.1740  0.5000  0.3490 [4 per cell]  1 Nb 1.89

Summary:
The volume comes out at 186.7 Å³/f.u. The energy relative to the elements, uncorrected is -2.116 eV per atom.

---

An optimized crystal structure of Rb2LiNb2Te2O12. Source: Alexandria via LeMat-Bulk, functional PBE.

Cell: 7.4606 7.4746 7.5151 Å, 60.25 61.28 60.28°
With the nearest neighbours (Å) after each atom.
Space group P1 (No. 1)
Symmetry-distinct sites (fractional):
Rb  0.0000  0.0000  0.0000 [1 per cell]  3 O 3.00-3.12
Rb  0.2646  0.1977  0.3564 [1 per cell]  3 O 2.79-2.82, 1 Li 3.10
Li  0.3528  0.3916  0.8613 [1 per cell]  3 O 1.96-2.01
Nb  0.2021  0.6395  0.5260 [1 per cell]  3 O 1.83-1.97
Nb  0.7346  0.6083  0.0542 [1 per cell]  5 O 1.89-2.04
Te  0.6905  0.1202  0.5728 [1 per cell]  6 O 2.01-2.06
Te  0.6913  0.6189  0.5749 [1 per cell]  6 O 1.95-1.98
O  0.0021  0.5557  0.5061 [1 per cell]  1 Te 1.97, 1 Nb 1.97
O  0.0143  0.9405  0.5038 [1 per cell]  1 Nb 1.94, 1 Te 2.04
O  0.0333  0.5406  0.8960 [1 per cell]  1 Nb 1.89, 1 Li 2.01
O  0.3746  0.3037  0.6429 [1 per cell]  1 Li 1.96, 1 Te 2.01, 1 Nb 2.10
O  0.3839  0.6754  0.6439 [1 per cell]  1 Te 1.95, 1 Li 1.98, 1 Nb 2.11
O  0.3837  0.6836  0.2481 [1 per cell]  1 Nb 1.83
O  0.6271  0.9324  0.4993 [1 per cell]  2 Te 1.97-2.04
O  0.6443  0.5488  0.8779 [1 per cell]  1 Te 1.95, 1 Nb 2.04
O  0.6489  0.9301  0.8864 [1 per cell]  1 Nb 2.01, 1 Te 2.02
O  0.7540  0.3006  0.2576 [1 per cell]  1 Nb 2.01, 1 Te 2.01
O  0.7544  0.3021  0.6570 [1 per cell]  2 Te 1.98-2.06
O  0.7572  0.6771  0.2703 [1 per cell]  1 Te 1.95, 1 Nb 2.03

Summary:
For the polymorph energy (0 for the lowest one), the calculation gives 0 meV/atom. The volume comes out at 300.3 Å³/f.u. The energy relative to the elements, uncorrected is -1.794 eV per atom.

---

An optimized crystal structure of Rb2LiNb2Te2O12. Source: Alexandria via LeMat-Bulk, functional PBE.

Cell: 12.8179 7.4038 7.5516 Å, 90.00 124.75 90.00°
With the nearest neighbours (Å) after each atom.
Space group C2/m (No. 12)
Symmetry-distinct sites (fractional):
Rb  0.1681  0.0000  0.0007 [4 per cell]  6 O 2.89-3.17, 1 Li 3.11
Li  0.0000  0.0000  0.5000 [2 per cell]  6 O 2.59-2.61
Nb  0.0000  0.5000  0.0000 [2 per cell]  6 O 2.00-2.02
Nb  0.0000  0.5000  0.5000 [2 per cell]  6 O 1.99-2.03
Te  0.2500  0.2500  0.5000 [4 per cell]  6 O 1.98-2.01
O  0.0612  0.5000  0.8082 [4 per cell]  2 Nb 1.99-2.00
O  0.1241  0.2974  0.5682 [8 per cell]  1 Te 1.98, 1 Nb 2.03
O  0.1264  0.3064  0.1897 [8 per cell]  1 Te 1.99, 1 Nb 2.02
O  0.1747  0.0000  0.4245 [4 per cell]  2 Te 2.01

Summary:
For the polymorph energy (0 for the lowest one), the calculation gives 26 meV/atom. The volume comes out at 294.4 Å³/f.u. The energy relative to the elements, uncorrected is -1.768 eV per atom.

---

no.,spin magnetization (μB per atom)
1,0.083
2,0.000
3,0.000